Entry from the Alexandria database: HfTlAs2Se after structural relaxation (PBE).

Unit cell a=5.110 b=5.110 c=5.242 alpha=90.00 beta=90.00 gamma=90.00
Sites, in units of the cell vectors:
1 Hf 0.000 0.000 0.000
2 Tl 0.500 0.500 0.500
3 As 0.000 0.500 0.500
4 As 0.500 0.000 0.500
5 Se 0.500 0.500 0.000

Output
The value obtained for the energy relative to the lowest polymorph listed for this composition is 1278 meV per atom. The calculation puts the calculated volume at 136.9 Å³/cell. Its uncorrected formation energy is 1.0800 eV/atom. Its space group is P4/mmm (123).

***

Entry from the Alexandria database: HfTlAs2Se after structural relaxation (PBE).

Unit cell a=5.222 b=5.222 c=5.224 alpha=90.00 beta=90.00 gamma=90.00
Sites, in units of the cell vectors:
1 Hf 0.000 0.000 0.000
2 Tl 0.500 0.500 0.500
3 As 0.000 0.500 0.000
4 As 0.500 0.000 0.000
5 Se 0.000 0.000 0.500

Output
The value obtained for the energy relative to the lowest polymorph listed for this composition is 0 meV per atom. The calculation puts the calculated volume at 142.5 Å³/cell. Its uncorrected formation energy is -0.1978 eV/atom. Its space group is P4/mmm (123).

***

Entry from the Alexandria database: HfVAsSe2 after structural relaxation (PBE).

Unit cell a=4.750 b=4.750 c=4.803 alpha=90.00 beta=90.00 gamma=90.00
Sites, in units of the cell vectors:
1 Hf 0.000 0.000 0.000
2 V 0.500 0.500 0.500
3 As 0.500 0.500 0.000
4 Se 0.000 0.500 0.500
5 Se 0.500 0.000 0.500

Output
The value obtained for the energy relative to the lowest polymorph listed for this composition is 0 meV per atom. The calculation puts the calculated volume at 108.4 Å³/cell. Its uncorrected formation energy is 0.1583 eV/atom. Its space group is P4/mmm (123).

***

Entry from the Alexandria database: HfVAsSe2 after structural relaxation (PBE).

Unit cell a=5.082 b=5.082 c=5.189 alpha=90.00 beta=90.00 gamma=90.00
Sites, in units of the cell vectors:
1 Hf 0.000 0.000 0.000
2 V 0.500 0.500 0.500
3 As 0.000 0.000 0.500
4 Se 0.000 0.500 0.000
5 Se 0.500 0.000 0.000

Output
The value obtained for the energy relative to the lowest polymorph listed for this composition is 241 meV per atom. The calculation puts the calculated volume at 134.0 Å³/cell. Its uncorrected formation energy is 0.3989 eV/atom. Its space group is P4/mmm (123).